[1]
## Os3CBr (PBE)

Data for a relaxed Os3CBr crystal.

a b c (Å): 4.5353 4.5353 4.5353
angles (deg): 90.00 90.00 90.00
Space group Pm-3m (No. 221)
One atom of each set of equivalent atoms:
Os 0.0000 0.0000 0.5000 [3 per cell]
C 0.5000 0.5000 0.5000 [1 per cell]
Br 0.0000 0.0000 0.0000 [1 per cell]

Results
formation energy without anion corrections: 3.80 eV per atom

=====

[2]
## HoSi2NiRh2 (PBE)

Data for a relaxed HoSi2NiRh2 crystal.

a b c (Å): 4.2638 4.2638 5.4480
angles (deg): 90.00 90.00 90.00
Space group P4/mmm (No. 123)
One atom of each set of equivalent atoms:
Ho 0.0000 0.0000 0.0000 [1 per cell]
Si 0.0000 0.5000 0.5000 [2 per cell]
Ni 0.0000 0.0000 0.5000 [1 per cell]
Rh 0.5000 0.5000 0.2465 [2 per cell]

Results
formation energy without anion corrections: -0.51 eV per atom

=====

[3]
## VPb3I (PBE)

Data for a relaxed VPb3I crystal.

a b c (Å): 5.9508 5.9508 5.9508
angles (deg): 90.00 90.00 90.00
Space group Pm-3m (No. 221)
One atom of each set of equivalent atoms:
V 0.0000 0.0000 0.0000 [1 per cell]
Pb 0.0000 0.5000 0.5000 [3 per cell]
I 0.5000 0.5000 0.5000 [1 per cell]

Results
formation energy without anion corrections: 1.23 eV per atom

=====

[4]
## LaSeIN2 (PBE)

Data for a relaxed LaSeIN2 crystal.

a b c (Å): 4.3002 4.3002 5.3117
angles (deg): 90.00 90.00 90.00
Space group P4/mmm (No. 123)
One atom of each set of equivalent atoms:
La 0.0000 0.0000 0.0000 [1 per cell]
Se 0.5000 0.5000 0.0000 [1 per cell]
I 0.5000 0.5000 0.5000 [1 per cell]
N 0.0000 0.5000 0.5000 [2 per cell]

Results
formation energy without anion corrections: 0.68 eV per atom

=====

[5]
## ThZrNp2P4 (PBE)

Data for a relaxed ThZrNp2P4 crystal.

a b c (Å): 6.8036 3.9630 6.8849
angles (deg): 90.00 109.46 90.00
Space group P2/m (No. 10)
One atom of each set of equivalent atoms:
Th 0.0000 0.0000 0.0000 [1 per cell]
Zr 0.0000 0.5000 0.5000 [1 per cell]
Np 0.5000 0.0000 0.5000 [1 per cell]
Np 0.5000 0.5000 0.0000 [1 per cell]
P 0.2476 0.0000 0.7374 [2 per cell]
P 0.2551 0.5000 0.2663 [2 per cell]

Results
E_form: -110 kJ per mole of atoms

=====

[6]
## LiLa2Ge (PBE)

Data for a relaxed LiLa2Ge crystal.

a b c (Å): 6.6369 4.5532 7.5015
angles (deg): 90.00 108.41 90.00
Space group P2_1/m (No. 11)
One atom of each set of equivalent atoms:
Li 0.0873 0.2500 0.1873 [2 per cell]
La 0.2585 0.7500 0.5674 [2 per cell]
La 0.3666 0.7500 0.1128 [2 per cell]
Ge 0.1318 0.2500 0.8134 [2 per cell]

Results
E_form: -44 kJ per mole of atoms